The following is a DFT calculation (PBE-GGA) of an optimized crystal structure of YHoZnCu. Values from VASP.

Results
Volume = 21.8 A^3/atom
Space-group type = P4mm
Total magnetization = 0.00 μB per formula unit
Calculated formation energy = -0.30 eV/atom
Fermi-level density of states = 2.73 states/eV per cell
Excess energy over the best structure of this formula in the dataset = 0 kJ/mol of formula units
E = -4.4048 eV/atom

The structure in Quantum ESPRESSO input format:
```
&SYSTEM
  ibrav = 0, nat = 4, ntyp = 4
/
ATOMIC_SPECIES
Y 88.91 Y.upf
Ho 164.93 Ho.upf
Zn 65.41 Zn.upf
Cu 63.55 Cu.upf
CELL_PARAMETERS angstrom
3.513 0.000 0.000
0.000 3.513 0.000
0.000 0.000 7.051
ATOMIC_POSITIONS crystal
Y 0.000 0.000 0.000
Ho 0.000 0.000 0.513
Zn 0.500 0.500 0.260
Cu 0.500 0.500 0.750
```

The following is a DFT calculation (PBE-GGA) of an optimized crystal structure of Ca2Ni3Sn5. Values from VASP.

Results
Volume = 21.6 A^3/atom
Space-group type = Ibam
Total magnetization = 0.00 μB per formula unit
Calculated formation energy = -0.40 eV/atom
Fermi-level density of states = 7.20 states/eV per cell
Excess energy over the best structure of this formula in the dataset = 15 kJ/mol of formula units
E = -4.5388 eV/atom

The structure in Quantum ESPRESSO input format:
```
&SYSTEM
  ibrav = 0, nat = 20, ntyp = 3
/
ATOMIC_SPECIES
Ca 40.08 Ca.upf
Ni 58.69 Ni.upf
Sn 118.71 Sn.upf
CELL_PARAMETERS angstrom
-5.378 6.276 3.194
5.378 -6.276 3.194
5.378 6.276 -3.194
ATOMIC_POSITIONS crystal
Ca 0.151 0.234 0.385
Ca 0.349 0.734 0.083
Ca 0.651 0.266 0.917
Ca 0.849 0.766 0.615
Ni 0.137 0.893 0.030
Ni 0.250 0.750 0.500
Ni 0.363 0.393 0.756
Ni 0.637 0.607 0.244
Ni 0.750 0.250 0.500
Ni 0.863 0.107 0.970
Sn 0.021 0.750 0.271
Sn 0.083 0.668 0.751
Sn 0.250 0.250 0.000
Sn 0.417 0.168 0.585
Sn 0.479 0.750 0.729
Sn 0.521 0.250 0.271
Sn 0.583 0.832 0.415
Sn 0.750 0.750 0.000
Sn 0.917 0.332 0.249
Sn 0.979 0.250 0.729
```

The following is a DFT calculation (PBE-GGA) of an optimized crystal structure of MnFeAu2. Values from VASP.

Results
Volume = 15.7 A^3/atom
Space-group type = Cm
Total magnetization = 6.69 μB per formula unit
Calculated formation energy = 0.10 eV/atom
Fermi-level density of states = 3.21 states/eV per cell
E = -5.9418 eV/atom

The structure in Quantum ESPRESSO input format:
```
&SYSTEM
  ibrav = 0, nat = 4, ntyp = 3
/
ATOMIC_SPECIES
Mn 54.94 Mn.upf
Fe 55.84 Fe.upf
Au 196.97 Au.upf
CELL_PARAMETERS angstrom
4.665 -1.453 0.000
4.665 1.453 0.000
-1.159 0.000 4.637
ATOMIC_POSITIONS crystal
Mn 0.000 0.000 0.000
Fe 0.269 0.269 0.727
Au 0.519 0.519 0.518
Au 0.752 0.752 0.214
```

The following is a DFT calculation (PBE-GGA) of an optimized crystal structure of LiGdErIr. Values from VASP.

Results
Volume = 21.0 A^3/atom
Space-group type = F-43m
Total magnetization = 7.15 μB per formula unit
Calculated formation energy = -0.56 eV/atom
Fermi-level density of states = 2.59 states/eV per cell
E = -7.9157 eV/atom

The structure in Quantum ESPRESSO input format:
```
&SYSTEM
  ibrav = 0, nat = 4, ntyp = 4
/
ATOMIC_SPECIES
Li 6.94 Li.upf
Gd 157.25 Gd.upf
Er 167.26 Er.upf
Ir 192.22 Ir.upf
CELL_PARAMETERS angstrom
0.000 3.476 3.476
3.476 0.000 3.476
3.476 3.476 0.000
ATOMIC_POSITIONS crystal
Li 0.000 0.000 0.000
Gd 0.250 0.250 0.250
Er 0.750 0.750 0.750
Ir 0.500 0.500 0.500
```

The following is a DFT calculation (PBE-GGA) of an optimized crystal structure of RbLiCl. Values from VASP.

Results
Volume = 37.8 A^3/atom
Space-group type = P2_1
Total magnetization = 0.00 μB per formula unit
Fermi-level density of states = 2.52 states/eV per cell
Energy relative to the elements, uncorrected = -1.101 eV per atom
Excess energy over the best structure of this formula in the dataset = 7 kJ/mol of formula units
E = -2.6767 eV/atom

The structure in Quantum ESPRESSO input format:
```
&SYSTEM
  ibrav = 0, nat = 6, ntyp = 3
/
ATOMIC_SPECIES
Rb 85.47 Rb.upf
Li 6.94 Li.upf
Cl 35.45 Cl.upf
CELL_PARAMETERS angstrom
4.089 0.000 0.000
0.000 6.481 0.000
-0.050 0.000 8.556
ATOMIC_POSITIONS crystal
Rb 0.247 0.000 0.171
Rb 0.753 0.500 0.829
Li 0.252 0.003 0.605
Li 0.748 0.503 0.395
Cl 0.250 0.656 0.506
Cl 0.750 0.156 0.494
```

The following is a DFT calculation (PBE-GGA) of an optimized crystal structure of TbErTm4Se8. Values from VASP.

Results
Volume = 29.3 A^3/atom
Space-group type = R3m
Total magnetization = 0.00 μB per formula unit
Fermi-level density of states = 8.42 states/eV per cell
Energy relative to the elements, uncorrected = -1.688 eV per atom
E = -5.6137 eV/atom

The structure in Quantum ESPRESSO input format:
```
&SYSTEM
  ibrav = 0, nat = 14, ntyp = 4
/
ATOMIC_SPECIES
Tb 158.93 Tb.upf
Er 167.26 Er.upf
Tm 168.93 Tm.upf
Se 78.96 Se.upf
CELL_PARAMETERS angstrom
4.167 2.406 6.810
-4.167 2.406 6.810
0.000 -4.811 6.810
ATOMIC_POSITIONS crystal
Tb 0.000 0.000 0.000
Er 0.625 0.625 0.625
Tm 0.127 0.625 0.625
Tm 0.250 0.250 0.250
Tm 0.625 0.127 0.625
Tm 0.625 0.625 0.127
Se 0.382 0.382 0.854
Se 0.382 0.854 0.382
Se 0.383 0.383 0.383
Se 0.402 0.867 0.867
Se 0.854 0.382 0.382
Se 0.866 0.866 0.866
Se 0.867 0.402 0.867
Se 0.867 0.867 0.402
```

The following is a DFT calculation (PBE-GGA) of an optimized crystal structure of ErPuCu2O8. Values from VASP.

Results
Volume = 12.8 A^3/atom
Space-group type = I-4m2
Total magnetization = 1.31 μB per formula unit
Fermi-level density of states = 9.10 states/eV per cell
Energy relative to the elements, uncorrected = -1.546 eV per atom
E = -7.1091 eV/atom

The structure in Quantum ESPRESSO input format:
```
&SYSTEM
  ibrav = 0, nat = 12, ntyp = 4
/
ATOMIC_SPECIES
Er 167.26 Er.upf
Pu 244.00 Pu.upf
Cu 63.55 Cu.upf
O 16.00 O.upf
CELL_PARAMETERS angstrom
-3.354 3.354 3.417
3.354 -3.354 3.417
3.354 3.354 -3.417
ATOMIC_POSITIONS crystal
Er 0.000 0.000 0.000
Pu 0.250 0.750 0.500
Cu 0.500 0.500 0.000
Cu 0.750 0.250 0.500
O 0.296 0.093 0.797
O 0.296 0.499 0.203
O 0.372 0.046 0.326
O 0.501 0.704 0.797
O 0.719 0.046 0.674
O 0.907 0.704 0.203
O 0.954 0.281 0.326
O 0.954 0.628 0.674
```

The following is a DFT calculation (PBE-GGA) of an optimized crystal structure of AlAuSeBr2. Values from VASP.

Results
Volume = 29.1 A^3/atom
Space-group type = P4/mmm
Total magnetization = 0.17 μB per formula unit
Fermi-level density of states = 4.90 states/eV per cell
Energy relative to the elements, uncorrected = 0.227 eV per atom
Excess energy over the best structure of this formula in the dataset = 100 kJ/mol of formula units
E = -2.5435 eV/atom

The structure in Quantum ESPRESSO input format:
```
&SYSTEM
  ibrav = 0, nat = 5, ntyp = 4
/
ATOMIC_SPECIES
Al 26.98 Al.upf
Au 196.97 Au.upf
Se 78.96 Se.upf
Br 79.90 Br.upf
CELL_PARAMETERS angstrom
5.288 0.000 0.000
0.000 5.288 0.000
0.000 0.000 5.203
ATOMIC_POSITIONS crystal
Al 0.000 0.000 0.000
Au 0.500 0.500 0.500
Se 0.500 0.500 0.000
Br 0.000 0.500 0.500
Br 0.500 0.000 0.500
```

The following is a DFT calculation (PBE-GGA) of an optimized crystal structure of La5BiPt2. Values from VASP.

Results
Volume = 30.4 A^3/atom
Space-group type = I4/mcm
Total magnetization = 0.00 μB per formula unit
Calculated formation energy = -0.89 eV/atom
Fermi-level density of states = 17.62 states/eV per cell
E = -5.9625 eV/atom

The structure in Quantum ESPRESSO input format:
```
&SYSTEM
  ibrav = 0, nat = 16, ntyp = 3
/
ATOMIC_SPECIES
La 138.91 La.upf
Bi 208.98 Bi.upf
Pt 195.08 Pt.upf
CELL_PARAMETERS angstrom
-4.152 4.152 7.049
4.152 -4.152 7.049
4.152 4.152 -7.049
ATOMIC_POSITIONS crystal
La 0.000 0.000 0.000
La 0.019 0.519 0.811
La 0.208 0.019 0.500
La 0.292 0.792 0.811
La 0.481 0.292 0.500
La 0.500 0.500 0.000
La 0.519 0.708 0.500
La 0.708 0.208 0.189
La 0.792 0.981 0.500
La 0.981 0.481 0.189
Bi 0.250 0.250 0.000
Bi 0.750 0.750 0.000
Pt 0.142 0.358 0.500
Pt 0.358 0.858 0.215
Pt 0.642 0.142 0.785
Pt 0.858 0.642 0.500
```